# Sm3AsCl3

Sm3AsCl3 after structural relaxation (PBE, the Alexandria database).

The uncorrected energy comes out at -5.222 eV/atom. For the uncorrected formation energy, the calculation gives -1.74 eV/atom. The value obtained for the density of states at the Fermi level is 13.18 states/eV per cell. The calculated volume comes out at 31.11 Å³/atom.

The space group is R-3 (No. 148, hexagonal axes) and the conventional cell measures 7.0270, 7.0270 and 30.5551 Å, with angles of 90.00, 90.00 and 120.00 degrees. Symmetry generates all atoms from Sm at (0.0000, 0.3358, 0.4468), As at (0.0000, 0.0000, 0.1667) and Cl at (0.0000, 0.3328, 0.6072).

=====

# Zr2Ni4Pt

Zr2Ni4Pt after structural relaxation (PBE, the Alexandria database).

The uncorrected energy comes out at -7.107 eV/atom. The calculation puts the formation energy at -0.498 eV/atom. The value obtained for the density of states at the Fermi level is 10.69 states/eV per cell. The calculated volume comes out at 14.85 Å³/atom.

The space group is I4/mmm (No. 139) and the conventional cell measures 3.5202, 3.5202 and 16.7716 Å, with angles of 90.00, 90.00 and 90.00 degrees. Symmetry generates all atoms from Zr at (0.0000, 0.0000, 0.1009), Ni at (0.0000, 0.0000, 0.3472), Ni at (0.0000, 0.5000, 0.2500) and Pt at (0.0000, 0.0000, 0.5000).